Here is an optimized crystal structure of MnWSe2 from the Alexandria database. Energies are from GGA-PBEsol.

The structure belongs to space group Cm (No. 8); the cell edges are 8.3334, 3.1816 and 5.3861 Å and the angles 90.00°, 100.72° and 90.00°. Symmetry generates all atoms from Mn at (0.0000, 0.0000, 0.0000), W at (0.2544, 0.5000, 0.2447), Se at (0.2593, 0.0000, 0.8702) and Se at (0.4878, 0.0000, 0.4223).

Here is an optimized crystal structure of YMn2Se from the Alexandria database. Energies are from GGA-PBEsol.

The structure belongs to space group P4/mmm (No. 123); the cell edges are 3.5463, 3.5463 and 5.7351 Å and the angles 90.00°, 90.00° and 90.00°. Symmetry generates all atoms from Y at (0.0000, 0.0000, 0.0000), Mn at (0.5000, 0.5000, 0.2732) and Se at (0.0000, 0.0000, 0.5000).

Here is an optimized crystal structure of YMn4Se from the Alexandria database. Energies are from GGA-PBEsol.

The structure belongs to space group F-43m (No. 216); the cell edges are 6.9009, 6.9009 and 6.9009 Å and the angles 90.00°, 90.00° and 90.00°. Symmetry generates all atoms from Y at (0.0000, 0.0000, 0.0000), Mn at (0.1230, 0.1230, 0.6230) and Se at (0.2500, 0.2500, 0.2500).

Here is an optimized crystal structure of YMnSe3 from the Alexandria database. Energies are from GGA-PBEsol.

The structure belongs to space group Pm-3m (No. 221); the cell edges are 4.7808, 4.7808 and 4.7808 Å and the angles 90.00°, 90.00° and 90.00°. Symmetry generates all atoms from Y at (0.0000, 0.0000, 0.0000), Mn at (0.5000, 0.5000, 0.5000) and Se at (0.0000, 0.5000, 0.5000).

Here is an optimized crystal structure of Y3MnSe from the Alexandria database. Energies are from GGA-PBEsol.

The structure belongs to space group Pm-3m (No. 221); the cell edges are 5.2720, 5.2720 and 5.2720 Å and the angles 90.00°, 90.00° and 90.00°. Symmetry generates all atoms from Y at (0.0000, 0.0000, 0.5000), Mn at (0.5000, 0.5000, 0.5000) and Se at (0.0000, 0.0000, 0.0000).

Here is an optimized crystal structure of MnZnSe2 from the Alexandria database. Energies are from GGA-PBEsol.

The structure belongs to space group Pmmm (No. 47); the cell edges are 3.4812, 3.6381 and 6.7268 Å and the angles 90.00°, 90.00° and 90.00°. Symmetry generates all atoms from Mn at (0.0000, 0.0000, 0.0000), Zn at (0.0000, 0.5000, 0.5000), Se at (0.5000, 0.0000, 0.5000) and Se at (0.5000, 0.5000, 0.0000).

Record order is preserved below.
Electronic total energy: -7.700; -7.494; -7.987; -6.315; -6.942; -4.793 eV/atom